1.
## Li7Sn2 (PBE)

Data for Li7Sn2 after structural relaxation.

DOS(E_F) in states/eV/f.u.: 1.81
E_tot in eV for the cell shown: -99.0

a = 9.814 Å, b = 13.820 Å, c = 4.691 Å
α = 90.00°, β = 90.00°, γ = 90.00°
Space group Cmmm (No. 65)
Symmetry-distinct sites (fractional):
Li 0.000 0.000 0.000 (multiplicity 2)
Li 0.000 0.173 0.500 (multiplicity 4)
Li 0.000 0.500 0.500 (multiplicity 2)
Li 0.154 0.500 0.000 (multiplicity 4)
Li 0.159 0.339 0.500 (multiplicity 8)
Li 0.186 0.157 0.000 (multiplicity 8)
Sn 0.000 0.318 0.000 (multiplicity 4)
Sn 0.164 0.000 0.500 (multiplicity 4)

2.
## AlZn3Cu2 (PBE)

Data for AlZn3Cu2 after structural relaxation.

DOS(E_F) in states/eV/f.u.: 1.45
E_tot in eV for the cell shown: -64.6

a = 5.381 Å, b = 7.550 Å, c = 8.514 Å
α = 90.00°, β = 107.60°, γ = 90.00°
Space group C2/c (No. 15)
Symmetry-distinct sites (fractional):
Al 0.000 0.125 0.250 (multiplicity 4)
Zn 0.000 0.374 0.750 (multiplicity 4)
Zn 0.166 0.376 0.084 (multiplicity 8)
Cu 0.166 0.125 0.582 (multiplicity 8)

3.
## Sm2ScGaO6 (PBE)

Data for Sm2ScGaO6 after structural relaxation.

DOS(E_F) in states/eV/f.u.: 0.00
E_form (uncorrected) in eV per atom: -3.081
E_tot in eV for the cell shown: -158.7

a = 5.477 Å, b = 5.717 Å, c = 9.576 Å
α = 90.00°, β = 124.52°, γ = 90.00°
Space group P2_1/c (No. 14)
Symmetry-distinct sites (fractional):
Sm 0.233 0.060 0.249 (multiplicity 4)
Sc 0.500 0.000 0.000 (multiplicity 2)
Ga 0.000 0.000 0.500 (multiplicity 2)
O 0.137 0.204 0.943 (multiplicity 4)
O 0.240 0.695 0.945 (multiplicity 4)
O 0.351 0.037 0.744 (multiplicity 4)

4.
## CrBN2 (PBE)

Data for CrBN2 after structural relaxation.

DOS(E_F) in states/eV/f.u.: 1.17
E above lowest polymorph in meV per atom: 0
E_form (uncorrected) in eV per atom: -0.481
E_tot in eV for the cell shown: -139.5

a = 4.266 Å, b = 4.266 Å, c = 7.292 Å
α = 90.00°, β = 90.00°, γ = 90.00°
Space group I-42d (No. 122)
Symmetry-distinct sites (fractional):
Cr 0.000 0.000 0.000 (multiplicity 4)
B 0.000 0.000 0.500 (multiplicity 4)
N 0.176 0.250 0.625 (multiplicity 8)

5.
## Ba5Re3 (PBE)

Data for Ba5Re3 after structural relaxation.

DOS(E_F) in states/eV/f.u.: 10.77
E above lowest polymorph in meV per atom: 0
E_tot in eV for the cell shown: -79.7

a = 11.269 Å, b = 13.009 Å, c = 3.998 Å
α = 90.00°, β = 90.00°, γ = 90.00°
Space group Cmmm (No. 65)
Symmetry-distinct sites (fractional):
Ba 0.000 0.000 0.000 (multiplicity 2)
Ba 0.235 0.500 0.500 (multiplicity 4)
Ba 0.250 0.250 0.000 (multiplicity 4)
Re 0.000 0.379 0.500 (multiplicity 4)
Re 0.000 0.500 0.000 (multiplicity 2)

6.
## Ca2Mg17 (PBE)

Data for Ca2Mg17 after structural relaxation.

DOS(E_F) in states/eV/f.u.: 8.44
E_tot in eV for the cell shown: -95.0

a = 10.4121 Å, b = 10.4121 Å, c = 15.3062 Å
α = 90.00°, β = 90.00°, γ = 120.00°
Space group R-3m (No. 166, hexagonal axes)
Symmetry-distinct sites (fractional):
Ca 0.0000 0.0000 0.1648 (multiplicity 6)
Mg 0.0000 0.0000 0.3997 (multiplicity 6)
Mg 0.0000 0.3012 0.5000 (multiplicity 18)
Mg 0.0000 0.5000 0.0000 (multiplicity 9)
Mg 0.0045 0.5022 0.6525 (multiplicity 18)

7.
## NpScCoTc (PBE)

Data for NpScCoTc after structural relaxation.

DOS(E_F) in states/eV/f.u.: 4.98
E_tot in eV for the cell shown: -148.0

a = 6.493 Å, b = 6.493 Å, c = 6.493 Å
α = 90.00°, β = 90.00°, γ = 90.00°
Space group F-43m (No. 216)
Symmetry-distinct sites (fractional):
Np 0.000 0.000 0.000 (multiplicity 4)
Sc 0.000 0.000 0.500 (multiplicity 4)
Co 0.250 0.250 0.250 (multiplicity 4)
Tc 0.250 0.250 0.750 (multiplicity 4)

8.
## CeEr5In6 (PBE)

Data for CeEr5In6 after structural relaxation.

DOS(E_F) in states/eV/f.u.: 11.63
E_tot in eV for the cell shown: -100.5

a = 5.309 Å, b = 15.965 Å, c = 7.504 Å
α = 90.00°, β = 90.00°, γ = 90.00°
Space group Cmmm (No. 65)
Symmetry-distinct sites (fractional):
Ce 0.000 0.000 0.000 (multiplicity 2)
Er 0.000 0.000 0.500 (multiplicity 2)
Er 0.000 0.332 0.000 (multiplicity 4)
Er 0.000 0.337 0.500 (multiplicity 4)
In 0.000 0.170 0.256 (multiplicity 8)
In 0.000 0.500 0.255 (multiplicity 4)

9.
## Dy12AlIn6 (PBE)

Data for Dy12AlIn6 after structural relaxation.

DOS(E_F) in states/eV/f.u.: 22.09
E_tot in eV for the cell shown: -225.4

a = 13.6956 Å, b = 13.6956 Å, c = 12.0162 Å
α = 90.00°, β = 90.00°, γ = 120.00°
Space group R-3 (No. 148, hexagonal axes)
Symmetry-distinct sites (fractional):
Dy 0.0360 0.8261 0.3849 (multiplicity 18)
Dy 0.0521 0.8382 0.8924 (multiplicity 18)
Al 0.0000 0.0000 0.0000 (multiplicity 3)
In 0.0487 0.7838 0.6447 (multiplicity 18)

10.
## Ca8Tl2Cu (PBE)

Data for Ca8Tl2Cu after structural relaxation.

DOS(E_F) in states/eV/f.u.: 6.31
E above lowest polymorph in meV per atom: 74
E_tot in eV for the cell shown: -52.4

a = 5.387 Å, b = 9.105 Å, c = 14.653 Å
α = 90.00°, β = 90.00°, γ = 90.00°
Space group Immm (No. 71)
Symmetry-distinct sites (fractional):
Ca 0.000 0.000 0.130 (multiplicity 4)
Ca 0.000 0.219 0.344 (multiplicity 8)
Ca 0.000 0.323 0.000 (multiplicity 4)
Tl 0.000 0.500 0.198 (multiplicity 4)
Cu 0.000 0.500 0.500 (multiplicity 2)

11.
## MgRuAu2 (PBE)

Data for MgRuAu2 after structural relaxation.

DOS(E_F) in states/eV/f.u.: 2.80
E_tot in eV for the cell shown: -51.0

a = 2.9095 Å, b = 2.9095 Å, c = 27.5281 Å
α = 90.00°, β = 90.00°, γ = 120.00°
Space group R-3m (No. 166, hexagonal axes)
Symmetry-distinct sites (fractional):
Mg 0.0000 0.0000 0.0000 (multiplicity 3)
Ru 0.0000 0.0000 0.5000 (multiplicity 3)
Au 0.0000 0.0000 0.2508 (multiplicity 6)

12.
## PuTiIr2 (PBE)

Data for PuTiIr2 after structural relaxation.

DOS(E_F) in states/eV/f.u.: 8.99
E above lowest polymorph in meV per atom: 199
E_tot in eV for the cell shown: -41.7

a = 4.345 Å, b = 4.345 Å, c = 3.717 Å
α = 90.00°, β = 90.00°, γ = 90.00°
Space group P4/mmm (No. 123)
Symmetry-distinct sites (fractional):
Pu 0.000 0.000 0.000 (multiplicity 1)
Ti 0.500 0.500 0.000 (multiplicity 1)
Ir 0.000 0.500 0.500 (multiplicity 2)